Entry 1:
# LaSm3Sn2 PBE optimized geometry
data_LaSm3Sn2
_symmetry_space_group_name_H-M 'P 1'
_symmetry_Int_Tables_number 1
_cell_length_a 4.624
_cell_length_b 4.624
_cell_length_c 8.828
_cell_angle_alpha 90.00
_cell_angle_beta 90.00
_cell_angle_gamma 90.00
loop_
_symmetry_equiv_pos_as_xyz
'x,y,z'
loop_
_atom_site_label
_atom_site_fract_x
_atom_site_fract_y
_atom_site_fract_z
La1 0.000 0.000 0.000
Sm1 0.000 0.500 0.352
Sm2 0.500 0.000 0.648
Sm3 0.500 0.500 0.000
Sn1 0.000 0.500 0.717
Sn2 0.500 0.000 0.283
# Crystal system: tetragonal
# Size of the total moment in μB/atom: 0.000
# Energy above the lowest structure with this stoichiometry in meV/atom: 0
# Final energy in eV per cell: -30.5
# Energy of formation from the pure elements in kJ per mole of atoms: -54.6

***

Entry 2:
# Cs3SrCl PBE optimized geometry
data_Cs3SrCl
_symmetry_space_group_name_H-M 'P 1'
_symmetry_Int_Tables_number 1
_cell_length_a 7.086
_cell_length_b 7.086
_cell_length_c 7.086
_cell_angle_alpha 90.00
_cell_angle_beta 90.00
_cell_angle_gamma 90.00
loop_
_symmetry_equiv_pos_as_xyz
'x,y,z'
loop_
_atom_site_label
_atom_site_fract_x
_atom_site_fract_y
_atom_site_fract_z
Cs1 0.000 0.000 0.500
Cs2 0.000 0.500 0.000
Cs3 0.500 0.000 0.000
Sr1 0.500 0.500 0.500
Cl1 0.000 0.000 0.000
# E_form (uncorrected) in eV/f.u.: -3.15
# Crystal system: cubic
# Size of the total moment in μB/atom: 0.126
# Final energy in eV per cell: -9.2

***

Entry 3:
# KCd2Pb PBE optimized geometry
data_KCd2Pb
_symmetry_space_group_name_H-M 'P 1'
_symmetry_Int_Tables_number 1
_cell_length_a 6.568
_cell_length_b 6.568
_cell_length_c 3.360
_cell_angle_alpha 102.39
_cell_angle_beta 102.39
_cell_angle_gamma 114.44
loop_
_symmetry_equiv_pos_as_xyz
'x,y,z'
loop_
_atom_site_label
_atom_site_fract_x
_atom_site_fract_y
_atom_site_fract_z
K1 0.000 0.000 0.000
Cd1 0.000 0.500 0.500
Cd2 0.500 0.000 0.500
Pb1 0.500 0.500 0.000
# Crystal system: monoclinic
# Size of the total moment in μB/atom: 0.000
# Energy above the lowest structure with this stoichiometry in meV/atom: 155
# Final energy in eV per cell: -6.4
# Energy of formation from the pure elements in kJ per mole of atoms: 5.1

***

Copy entry 1 word for word.
# LaSm3Sn2 PBE optimized geometry
data_LaSm3Sn2
_symmetry_space_group_name_H-M 'P 1'
_symmetry_Int_Tables_number 1
_cell_length_a 4.624
_cell_length_b 4.624
_cell_length_c 8.828
_cell_angle_alpha 90.00
_cell_angle_beta 90.00
_cell_angle_gamma 90.00
loop_
_symmetry_equiv_pos_as_xyz
'x,y,z'
loop_
_atom_site_label
_atom_site_fract_x
_atom_site_fract_y
_atom_site_fract_z
La1 0.000 0.000 0.000
Sm1 0.000 0.500 0.352
Sm2 0.500 0.000 0.648
Sm3 0.500 0.500 0.000
Sn1 0.000 0.500 0.717
Sn2 0.500 0.000 0.283
# Crystal system: tetragonal
# Size of the total moment in μB/atom: 0.000
# Energy above the lowest structure with this stoichiometry in meV/atom: 0
# Final energy in eV per cell: -30.5
# Energy of formation from the pure elements in kJ per mole of atoms: -54.6

***

Question: Which of these has the highest size of the total moment?
Answer: Cs3SrCl

***

Question: The lowest final energy belongs to which entry?
Answer: LaSm3Sn2